(1)
This record from Alexandria describes an optimized crystal structure of TlIn2W. The functional is GGA-PBEsol.

Results
calculated formation energy	0.573	eV per atom
E	-5.028	eV/atom

Geometry as POSCAR:
```
TlIn2W
1.0
-1.010 -2.736 0.501
1.221 0.234 -2.686
9.544 -2.774 4.099
In W Tl
2 1 1
Cartesian
7.367 -3.361 2.026 In
0.247 -0.072 0.106 In
2.404 -1.919 -0.105 W
4.510 -1.311 1.937 Tl
```

(2)
This record from Alexandria describes an optimized crystal structure of Y2TlIn. The functional is GGA-PBEsol.

Results
calculated formation energy	-0.504	eV per atom
E	-5.318	eV/atom

Geometry as POSCAR:
```
Y2TlIn
1.0
5.259 0.000 0.000
2.630 4.554 0.000
2.630 1.518 4.294
Y In Tl
2 1 1
Cartesian
7.889 4.554 3.220 Y
2.630 1.518 1.073 Y
5.259 3.036 2.147 In
0.000 0.000 0.000 Tl
```

(3)
This record from Alexandria describes an optimized crystal structure of YTlIn. The functional is GGA-PBEsol.

Results
calculated formation energy	-0.061	eV per atom
E	-4.206	eV/atom

Geometry as POSCAR:
```
YTlIn
1.0
-1.539 -2.911 -3.774
1.196 -4.863 -0.060
-3.536 -3.458 0.786
Y Tl In
1 1 1
Cartesian
-0.970 -2.808 -0.762 Y
-1.940 -5.616 -1.524 Tl
0.000 0.000 0.000 In
```

(4)
This record from Alexandria describes an optimized crystal structure of Y2TlIn. The functional is GGA-PBEsol.

Results
calculated formation energy	-0.419	eV per atom
E	-5.234	eV/atom

Geometry as POSCAR:
```
Y2TlIn
1.0
4.434 0.000 0.000
0.000 4.434 0.000
-2.217 -2.217 5.313
Tl Y In
1 2 1
Cartesian
0.000 2.217 2.656 Tl
2.217 0.000 2.656 Y
0.000 0.000 0.000 Y
2.217 2.217 0.000 In
```

(5)
This record from Alexandria describes an optimized crystal structure of Y2TlIn. The functional is GGA-PBEsol.

Results
calculated formation energy	-0.504	eV per atom
E	-5.319	eV/atom

Geometry as POSCAR:
```
Y2TlIn
1.0
3.716 0.000 0.000
0.000 5.254 0.043
0.000 -0.042 5.254
In Y Tl
1 2 1
Cartesian
1.858 0.000 0.000 In
0.000 -0.021 2.627 Y
0.000 2.627 0.021 Y
1.858 2.606 2.649 Tl
```

(6)
This record from Alexandria describes an optimized crystal structure of Y2TlIn. The functional is GGA-PBEsol.

Results
calculated formation energy	-0.505	eV per atom
E	-5.319	eV/atom

Geometry as POSCAR:
```
Y2TlIn
1.0
-1.415 -0.598 -4.702
3.523 -3.639 2.005
-1.784 -4.480 1.107
Y Tl In
2 1 1
Cartesian
-0.638 -5.628 -1.694 Y
0.962 -3.089 0.103 Y
-1.600 -2.539 -1.798 Tl
0.000 0.000 0.000 In
```

(7)
This record from Alexandria describes an optimized crystal structure of Y2TlIn. The functional is GGA-PBEsol.

Results
calculated formation energy	-0.446	eV per atom
E	-5.260	eV/atom

Geometry as POSCAR:
```
Y2TlIn
1.0
-0.838 -1.486 3.414
1.501 -4.494 -1.588
4.750 4.080 0.809
Y Tl In
2 1 1
Cartesian
5.346 -1.916 2.611 Y
2.170 -0.188 2.584 Y
3.140 -1.735 0.015 Tl
0.504 -2.953 0.971 In
```

(8)
This record from Alexandria describes an optimized crystal structure of YTlIn. The functional is GGA-PBEsol.

Results
calculated formation energy	-0.382	eV per atom
E	-4.527	eV/atom

Geometry as POSCAR:
```
YTlIn
1.0
3.670 0.000 0.000
0.000 4.881 0.000
0.000 -2.440 4.227
Tl Y In
1 1 1
Cartesian
2.624 2.440 1.409 Tl
1.270 0.000 2.818 Y
3.445 0.000 0.000 In
```